[1]
# BeIr2Pt

An optimized crystal structure of BeIr2Pt (PBE, the Alexandria database).

Output
Crystal system: monoclinic
Energy of formation, eV/atom: -0.135
DFT total energy, eV per atom: -7.007

Unit cell a=4.701 b=4.701 c=4.657 alpha=72.12 beta=72.12 gamma=33.92
Fractional coordinates of all 4 atoms:
Be1 0.263 0.263 0.317
Ir1 0.976 0.976 0.970
Ir2 0.739 0.739 0.775
Pt1 0.523 0.523 0.438

---

[2]
# BeIr2Pt

An optimized crystal structure of BeIr2Pt (PBE, the Alexandria database).

Output
Crystal system: trigonal
Energy of formation, eV/atom: -0.160
DFT total energy, eV per atom: -7.032

Unit cell a=8.470 b=8.470 c=8.470 alpha=18.60 beta=18.60 gamma=18.60
Fractional coordinates of all 4 atoms:
Be1 0.749 0.749 0.749
Ir1 0.008 0.008 0.008
Ir2 0.253 0.253 0.253
Pt1 0.490 0.490 0.490

---

[3]
# BeIr2Pt

An optimized crystal structure of BeIr2Pt (PBE, the Alexandria database).

Output
Crystal system: tetragonal
Energy of formation, eV/atom: -0.118
DFT total energy, eV per atom: -6.990

Unit cell a=4.622 b=4.622 c=4.622 alpha=131.26 beta=131.26 gamma=71.39
Fractional coordinates of all 4 atoms:
Be1 0.750 0.250 0.500
Ir1 0.000 0.000 0.000
Ir2 0.250 0.750 0.500
Pt1 0.500 0.500 0.000